No. 1
This record from Alexandria via LeMat-Bulk describes an optimized crystal structure of La3PCl3. The functional is PBE.

* VASP energy: -5.62 eV per atom
* calculated density: 4.46 g cm⁻³
* formation energy (no corrections): -13.63 eV/f.u.
* magnetization: 0.00 μB/f.u.

a = 10.2358 Å, b = 10.2358 Å, c = 10.2358 Å
α = 109.47°, β = 109.47°, γ = 109.47°
Last column: nearest neighbours and their distance in Å.
Positions (direct):
Cl 0.2480 0.2500 0.7520  4 La 2.98-3.06
Cl 0.7500 0.7520 0.7480  4 La 2.98-3.06
Cl 0.4980 0.9960 0.7480  4 La 2.98-3.06
Cl 0.7500 0.9980 0.5020  4 La 2.98-3.06
Cl 0.4960 0.7480 0.9980  4 La 2.98-3.06
Cl 0.4980 0.5020 0.2500  4 La 2.98-3.06
Cl 0.2520 0.7480 0.2500  4 La 2.98-3.06
Cl 0.0020 0.7520 0.5040  4 La 2.98-3.06
Cl 0.2520 0.5040 0.5020  4 La 2.98-3.06
Cl 0.0020 0.2500 0.9980  4 La 2.98-3.06
Cl 0.0040 0.5020 0.7520  4 La 2.98-3.06
Cl 0.2480 0.9980 0.9960  4 La 2.98-3.06
P 0.7500 0.5000 0.0000  6 La 2.85
P 0.5000 0.2500 0.5000  6 La 2.85
P 0.7500 0.2500 0.2500  6 La 2.85
P 0.0000 0.0000 0.2500  6 La 2.85
La 0.2500 0.0088 0.4912  2 P 2.85, 4 Cl 2.98-3.06
La 0.9825 0.4912 0.2412  2 P 2.85, 4 Cl 2.98-3.06
La 0.9912 0.7500 0.0088  2 P 2.85, 4 Cl 2.98-3.06
La 0.9912 0.2412 0.4825  2 P 2.85, 4 Cl 2.98-3.06
La 0.7588 0.0088 0.0175  2 P 2.85, 4 Cl 2.98-3.06
La 0.5088 0.0175 0.2588  2 P 2.85, 4 Cl 2.98-3.06
La 0.5088 0.4912 0.7500  2 P 2.85, 4 Cl 2.98-3.06
La 0.5175 0.2588 0.0088  2 P 2.85, 4 Cl 2.98-3.06
La 0.7412 0.2588 0.7500  2 P 2.85, 4 Cl 2.98-3.06
La 0.2500 0.2412 0.2588  2 P 2.85, 4 Cl 2.98-3.06
La 0.7588 0.7500 0.2412  2 P 2.85, 4 Cl 2.98-3.06
La 0.7412 0.4825 0.4912  2 P 2.85, 4 Cl 2.98-3.06



No. 2
This record from Alexandria via LeMat-Bulk describes an optimized crystal structure of Cd2Hg4I. The functional is PBE.

* VASP energy: -0.49 eV per atom
* calculated density: 5.91 g cm⁻³
* formation energy (no corrections): 1.17 eV/f.u.
* magnetization: 0.00 μB/f.u.

a = 6.0857 Å, b = 6.0857 Å, c = 9.7543 Å
α = 71.82°, β = 71.82°, γ = 90.00°
Last column: nearest neighbours and their distance in Å.
Positions (direct):
Hg 0.0000 0.5000 0.0000  2 I 3.04
Hg 0.7722 0.7722 0.4555  1 Cd 3.22
Hg 0.2278 0.2278 0.5445  1 Cd 3.22
Hg 0.5000 0.0000 0.0000  2 I 3.04
Cd 0.4119 0.4119 0.1761  1 Cd 3.08, 5 Hg 3.22-3.41
Cd 0.5881 0.5881 0.8239  1 Cd 3.08, 5 Hg 3.22-3.41
I 0.0000 0.0000 0.0000  4 Hg 3.04



No. 3
This record from Alexandria via LeMat-Bulk describes an optimized crystal structure of ReAgCl2. The functional is PBE.

* VASP energy: -3.58 eV per atom
* calculated density: 7.61 g cm⁻³
* relative energy among the computed polymorphs: 0.9827 eV per atom
* formation energy (no corrections): 4.66 eV/f.u.
* magnetization: 4.37 μB/f.u.

a = 4.8299 Å, b = 4.8299 Å, c = 4.8299 Å
α = 60.00°, β = 60.00°, γ = 60.00°
Last column: nearest neighbours and their distance in Å.
Positions (direct):
Cl 0.0000 0.0000 0.0000  4 Cl 2.96, 4 Re 2.96
Cl 0.2500 0.2500 0.2500  4 Cl 2.96, 4 Ag 2.96
Ag 0.5000 0.5000 0.5000  4 Cl 2.96, 4 Re 2.96
Re 0.7500 0.7500 0.7500  4 Cl 2.96, 4 Ag 2.96



No. 4
This record from Alexandria via LeMat-Bulk describes an optimized crystal structure of Ce12H5Ru3. The functional is PBE.

* VASP energy: -5.99 eV per atom
* calculated density: 7.83 g cm⁻³
* magnetization: 8.21 μB/f.u.

a = 12.9929 Å, b = 12.9929 Å, c = 12.9929 Å
α = 109.47°, β = 109.47°, γ = 109.47°
Last column: nearest neighbours and their distance in Å.
Positions (direct):
Ru 0.7500 0.3750 0.1250  8 Ce 2.79-3.04
Ru 0.8750 0.1250 0.2500  8 Ce 2.79-3.04
Ru 0.6250 0.3750 0.7500  8 Ce 2.79-3.04
Ru 0.3750 0.7500 0.6250  8 Ce 2.79-3.04
Ru 0.6250 0.2500 0.3750  8 Ce 2.79-3.04
Ru 0.2500 0.6250 0.8750  8 Ce 2.79-3.04
Ru 0.8750 0.7500 0.1250  8 Ce 2.79-3.04
Ru 0.7500 0.8750 0.6250  8 Ce 2.79-3.04
Ru 0.1250 0.8750 0.7500  8 Ce 2.79-3.04
Ru 0.3750 0.6250 0.2500  8 Ce 2.79-3.04
Ru 0.1250 0.2500 0.8750  8 Ce 2.79-3.04
Ru 0.2500 0.1250 0.3750  8 Ce 2.79-3.04
Ce 0.2216 0.5326 0.6142  1 H 2.24
Ce 0.8858 0.2784 0.4674  1 H 2.24
Ce 0.7216 0.6074 0.1890  1 H 2.24
Ce 0.4184 0.3858 0.6074  1 H 2.24
Ce 0.9674 0.5816 0.1890  1 H 2.24
Ce 0.0816 0.8926 0.1142  1 H 2.24
Ce 0.2784 0.3926 0.8110  1 H 2.24
Ce 0.6074 0.7216 0.6890  1 H 2.24
Ce 0.0326 0.6142 0.7216  1 H 2.24
Ce 0.2216 0.6890 0.1074  1 H 2.24
Ce 0.8926 0.0816 0.6142  1 H 2.24
Ce 0.1074 0.9184 0.3858  1 H 2.24
Ce 0.0816 0.1890 0.4674  1 H 2.24
Ce 0.8110 0.9184 0.0326  1 H 2.24
Ce 0.6142 0.5816 0.8926  1 H 2.24
Ce 0.5816 0.6142 0.3926  1 H 2.24
Ce 0.1074 0.1890 0.2216  1 H 2.24
Ce 0.3858 0.9674 0.7784  1 H 2.24
Ce 0.1142 0.3926 0.0816  1 H 2.24
Ce 0.3110 0.7784 0.3926  1 H 2.24
Ce 0.8926 0.8110 0.7784  1 H 2.24
Ce 0.5326 0.2216 0.1142  1 H 2.24
Ce 0.0326 0.4184 0.8110  1 H 2.24
Ce 0.3110 0.5326 0.4184  1 H 2.24
Ce 0.3926 0.2784 0.3110  1 H 2.24
Ce 0.8110 0.8926 0.2784  1 H 2.24
Ce 0.6074 0.8858 0.4184  1 H 2.24
Ce 0.4184 0.0326 0.3110  1 H 2.24
Ce 0.9184 0.1074 0.8858  1 H 2.24
Ce 0.6890 0.2216 0.6074  1 H 2.24
Ce 0.6890 0.4674 0.5816  1 H 2.24
Ce 0.5816 0.9674 0.6890  1 H 2.24
Ce 0.4674 0.7784 0.8858  1 H 2.24
Ce 0.7784 0.4674 0.3858  1 H 2.24
Ce 0.7784 0.3110 0.8926  1 H 2.24
Ce 0.1890 0.0816 0.9674  1 H 2.24
Ce 0.7216 0.1142 0.0326  1 H 2.24
Ce 0.2784 0.8858 0.9674  1 H 2.24
Ce 0.1890 0.1074 0.7216  1 H 2.24
Ce 0.6142 0.0326 0.2216  1 H 2.24
Ce 0.3858 0.4184 0.1074  1 H 2.24
Ce 0.9674 0.3858 0.2784  1 H 2.24
Ce 0.3926 0.1142 0.5816  1 H 2.24
Ce 0.9184 0.8110 0.5326  1 H 2.24
Ce 0.1142 0.7216 0.5326  1 H 2.24
Ce 0.5326 0.3110 0.9184  1 H 2.24
Ce 0.8858 0.6074 0.9184  1 H 2.24
Ce 0.4674 0.6890 0.0816  1 H 2.24
H 0.5000 0.5000 0.0000  6 Ce 2.57
H 0.5000 0.0000 0.0000  6 Ce 2.57
H 0.6250 0.7500 0.8750  4 Ce 2.24
H 0.3750 0.2500 0.1250  4 Ce 2.24
H 0.0000 0.0000 0.0000  6 Ce 2.57
H 0.8750 0.2500 0.6250  4 Ce 2.24
H 0.1250 0.7500 0.3750  4 Ce 2.24
H 0.2500 0.3750 0.6250  4 Ce 2.24
H 0.2500 0.8750 0.1250  4 Ce 2.24
H 0.8750 0.6250 0.7500  4 Ce 2.24
H 0.3750 0.1250 0.7500  4 Ce 2.24
H 0.5000 0.5000 0.5000  6 Ce 2.57
H 0.0000 0.5000 0.0000  6 Ce 2.57
H 0.0000 0.5000 0.5000  6 Ce 2.57
H 0.7500 0.1250 0.8750  4 Ce 2.24
H 0.6250 0.8750 0.2500  4 Ce 2.24
H 0.0000 0.0000 0.5000  6 Ce 2.57
H 0.7500 0.6250 0.3750  4 Ce 2.24
H 0.1250 0.3750 0.2500  4 Ce 2.24
H 0.5000 0.0000 0.5000  6 Ce 2.57



No. 5
This record from Alexandria via LeMat-Bulk describes an optimized crystal structure of BaPd3Au. The functional is PBE.

* VASP energy: -4.53 eV per atom
* formation energy: -1.867 eV per formula unit
* calculated density: 10.14 g cm⁻³
* relative energy among the computed polymorphs: 0.0000 eV per atom
* magnetization: 0.00 μB/f.u.

a = 5.5101 Å, b = 6.8975 Å, c = 6.8975 Å
α = 68.91°, β = 66.46°, γ = 66.46°
Last column: nearest neighbours and their distance in Å.
Positions (direct):
Au 0.5000 0.0000 0.0000  6 Pd 2.77-2.88
Au 0.5000 0.5000 0.5000  6 Pd 2.77-2.88
Pd 0.5000 0.3042 0.1958  5 Pd 2.76-3.06, 2 Au 2.88
Pd 0.0000 0.6958 0.8042  5 Pd 2.76-3.06, 2 Au 2.88
Pd 0.5000 0.6958 0.8042  5 Pd 2.76-3.06, 2 Au 2.88
Pd 0.3022 0.9478 0.4478  2 Au 2.77, 6 Pd 2.79-2.94, 1 Ba 3.02
Pd 0.6978 0.0522 0.5522  2 Au 2.77, 6 Pd 2.79-2.94, 1 Ba 3.02
Pd 0.0000 0.3042 0.1958  5 Pd 2.76-3.06, 2 Au 2.88
Ba 0.0012 0.7488 0.2488  5 Pd 3.02-3.22, 4 Au 3.38
Ba 0.9988 0.2512 0.7512  5 Pd 3.02-3.22, 4 Au 3.38



No. 6
This record from Alexandria via LeMat-Bulk describes an optimized crystal structure of Y3RuC. The functional is PBE.

* VASP energy: -7.61 eV per atom
* formation energy: -0.136 eV per formula unit
* calculated density: 5.71 g cm⁻³
* relative energy among the computed polymorphs: 0.0000 eV per atom
* magnetization: 0.00 μB/f.u.

a = 4.7982 Å, b = 4.7982 Å, c = 4.7982 Å
α = 90.00°, β = 90.00°, γ = 90.00°
Last column: nearest neighbours and their distance in Å.
Positions (direct):
Y 0.0000 0.5000 0.0000  2 C 2.40
Y 0.0000 0.0000 0.5000  2 C 2.40
Y 0.5000 0.0000 0.0000  2 C 2.40
C 0.0000 0.0000 0.0000  6 Y 2.40
Ru 0.5000 0.5000 0.5000  12 Y 3.39



No. 7
This record from Alexandria via LeMat-Bulk describes an optimized crystal structure of Sr3HfB. The functional is PBE.

* VASP energy: -2.53 eV per atom
* formation energy: 9.047 eV per formula unit
* calculated density: 3.17 g cm⁻³
* relative energy among the computed polymorphs: 0.8896 eV per atom
* magnetization: 2.40 μB/f.u.

a = 6.1877 Å, b = 6.1877 Å, c = 6.1877 Å
α = 90.00°, β = 90.00°, γ = 90.00°
Last column: nearest neighbours and their distance in Å.
Positions (direct):
Hf 0.0000 0.0000 0.0000  6 Sr 3.09
Sr 0.0000 0.0000 0.5000  2 Hf 3.09
Sr 0.5000 0.0000 0.0000  2 Hf 3.09
Sr 0.0000 0.5000 0.0000  2 Hf 3.09
B 0.5000 0.5000 0.5000  12 Sr 4.38



No. 8
This record from Alexandria via LeMat-Bulk describes an optimized crystal structure of TlCd2Pt. The functional is PBE.

* VASP energy: -2.58 eV per atom
* formation energy: -0.093 eV per formula unit
* calculated density: 12.53 g cm⁻³
* relative energy among the computed polymorphs: 0.1330 eV per atom
* magnetization: 0.00 μB/f.u.

a = 5.3241 Å, b = 5.3241 Å, c = 5.3241 Å
α = 131.63°, β = 131.51°, γ = 70.91°
Last column: nearest neighbours and their distance in Å.
Positions (direct):
Cd 0.9995 0.9995 0.0000  4 Pt 3.07-3.08, 4 Tl 3.08, 4 Cd 3.09
Cd 0.5005 0.5005 0.0000  4 Pt 3.07-3.08, 4 Tl 3.08, 4 Cd 3.09
Tl 0.2500 0.7500 0.5000  8 Cd 3.08, 4 Pt 3.09
Pt 0.7500 0.2500 0.5000  8 Cd 3.07-3.08, 4 Tl 3.09



No. 9
This record from Alexandria via LeMat-Bulk describes an optimized crystal structure of AcRh3Pb2O8. The functional is PBE.

* VASP energy: -6.40 eV per atom
* calculated density: 8.37 g cm⁻³
* formation energy (no corrections): -16.32 eV/f.u.
* magnetization: 0.00 μB/f.u.

a = 6.5514 Å, b = 6.5514 Å, c = 6.8857 Å
α = 61.60°, β = 61.59°, γ = 60.00°
Last column: nearest neighbours and their distance in Å.
Positions (direct):
Rh 0.4999 0.0007 0.9994  6 O 2.09-2.15
Rh 0.0007 0.4999 0.9994  6 O 2.09-2.15
Rh 0.4999 0.4999 0.9994  6 O 2.09-2.15
Pb 0.1145 0.1145 0.6566  3 O 2.26
Pb 0.4985 0.4985 0.5045  6 O 2.50-2.53
O 0.7258 0.7258 0.8227  3 Rh 2.15
O 0.7579 0.7579 0.1820  2 Rh 2.10, 1 Ac 2.33
O 0.7579 0.3022 0.1820  2 Rh 2.10, 1 Ac 2.33
O 0.2415 0.6977 0.8194  2 Rh 2.09, 1 Pb 2.26
O 0.3022 0.7579 0.1820  2 Rh 2.10, 1 Ac 2.33
O 0.6977 0.2415 0.8194  2 Rh 2.09, 1 Pb 2.26
O 0.2414 0.2414 0.8194  2 Rh 2.09, 1 Pb 2.26
O 0.2781 0.2781 0.1658  3 Rh 2.12
Ac 0.8767 0.8767 0.3699  3 O 2.33



No. 10
This record from Alexandria via LeMat-Bulk describes an optimized crystal structure of Rb4MgSn4. The functional is PBE.

* VASP energy: -2.32 eV per atom
* formation energy: 0.571 eV per formula unit
* calculated density: 2.90 g cm⁻³
* magnetization: 1.54 μB/f.u.

a = 7.3762 Å, b = 10.2836 Å, c = 7.3762 Å
α = 68.98°, β = 90.00°, γ = 111.02°
Last column: nearest neighbours and their distance in Å.
Positions (direct):
Sn 0.0081 0.2872 0.7209  1 Sn 2.83, 1 Mg 2.91
Sn 0.7209 0.7128 0.2791  1 Sn 2.83, 1 Mg 2.91
Sn 0.9919 0.7128 0.0081  1 Sn 2.83, 1 Mg 2.91
Sn 0.2791 0.2872 0.9919  1 Sn 2.83, 1 Mg 2.91
Rb 0.4721 0.2928 0.5279  1 Rb 3.64, 3 Sn 3.68-3.74
Rb 0.8207 0.2928 0.1793  1 Rb 3.64, 3 Sn 3.68-3.74
Rb 0.5279 0.7072 0.8207  1 Rb 3.64, 3 Sn 3.68-3.74
Rb 0.1793 0.7072 0.4721  1 Rb 3.64, 3 Sn 3.68-3.74
Mg 0.0000 0.0000 0.0000  4 Sn 2.91



No. 11
This record from Alexandria via LeMat-Bulk describes an optimized crystal structure of Mg2Sn2Pt. The functional is PBE.

* VASP energy: -3.32 eV per atom
* formation energy: 0.623 eV per formula unit
* calculated density: 6.67 g cm⁻³
* relative energy among the computed polymorphs: 0.3767 eV per atom
* magnetization: 0.00 μB/f.u.

a = 3.9225 Å, b = 3.9225 Å, c = 8.2679 Å
α = 76.28°, β = 76.28°, γ = 90.00°
Last column: nearest neighbours and their distance in Å.
Positions (direct):
Pt 0.0000 0.0000 0.0000  8 Mg 3.08
Mg 0.4133 0.4133 0.1733  1 Mg 2.70
Mg 0.5867 0.5867 0.8267  1 Mg 2.70
Sn 0.7500 0.2500 0.5000  4 Sn 2.77
Sn 0.2500 0.7500 0.5000  4 Sn 2.77



No. 12
This record from Alexandria via LeMat-Bulk describes an optimized crystal structure of BaNd2Zn3. The functional is PBE.

* VASP energy: -2.79 eV per atom
* formation energy: -1.453 eV per formula unit
* calculated density: 6.22 g cm⁻³
* magnetization: 0.00 μB/f.u.

a = 3.7843 Å, b = 3.7843 Å, c = 11.5993 Å
α = 90.00°, β = 90.00°, γ = 90.00°
Last column: nearest neighbours and their distance in Å.
Positions (direct):
Zn 0.0000 0.0000 0.0000  8 Nd 3.22, 2 Zn 3.47
Zn 0.0000 0.0000 0.7010  4 Nd 3.16, 1 Zn 3.47
Zn 0.0000 0.0000 0.2990  4 Nd 3.16, 1 Zn 3.47
Ba 0.5000 0.5000 0.5000  8 Zn 3.55, 4 Ba 3.78
Nd 0.5000 0.5000 0.8462  8 Zn 3.16-3.22
Nd 0.5000 0.5000 0.1538  8 Zn 3.16-3.22